1.
Entry from the Alexandria database: an optimized crystal structure of Sr3PmDy3S8 (PBE-GGA).

abc: 8.0343 8.0343 20.5557
angles: 90.00 90.00 120.00
Closest atoms and distances in Å follow each position.
Space group R-3m (No. 166, hexagonal axes)
Inequivalent atoms, fractional coordinates:
Sr 0.0000 0.5000 0.0000 x9  6 S 2.97-2.99
Pm 0.0000 0.0000 0.5000 x3  6 S 2.83
Dy 0.0000 0.5000 0.5000 x9  6 S 2.78-2.80
S 0.0000 0.0000 0.2429 x6  3 Dy 2.80, 3 Sr 2.97
S 0.0059 0.5029 0.7575 x18  2 Dy 2.78, 1 Pm 2.83, 2 Sr 2.99

Values from the calculation:
* DOS(E_F): 0.32 states/eV per atom
* total energy: -263.12 eV per cell

2.
Entry from the Alexandria database: an optimized crystal structure of LiHgSbAs (PBE-GGA).

abc: 6.5002 3.7512 8.7550
angles: 90.00 104.20 90.00
Closest atoms and distances in Å follow each position.
Space group Cm (No. 8)
Inequivalent atoms, fractional coordinates:
Li 0.0000 0.0000 0.0000 x2  3 As 2.86, 3 Hg 2.87-2.88
Hg 0.4077 0.0000 0.2227 x2  3 Li 2.87-2.88, 1 Sb 3.09
Sb 0.0291 0.5000 0.5863 x2  3 As 2.72
As 0.2598 0.0000 0.7795 x2  3 Sb 2.72, 3 Li 2.86

Values from the calculation:
* DOS(E_F): 0.18 states/eV per atom
* total energy: -22.71 eV per cell

3.
Entry from the Alexandria database: an optimized crystal structure of La6Pr2YEr (PBE-GGA).

abc: 9.8927 15.4128 9.3496
angles: 90.00 91.82 90.00
Closest atoms and distances in Å follow each position.
Space group C2/c (No. 15)
Inequivalent atoms, fractional coordinates:
La 0.0741 0.1431 0.0988 x8  4 La 3.23-3.60, 1 Y 3.48, 1 Pr 3.58
La 0.0748 0.3476 0.9126 x8  4 La 3.34-3.60, 2 Er 3.55-3.71, 2 Pr 3.61-3.73
La 0.2428 0.2809 0.3193 x8  3 La 3.36-3.51, 1 Er 3.45, 1 Y 3.46, 1 Pr 3.52
Pr 0.2477 0.4557 0.5614 x8  2 Er 3.48-3.76, 7 La 3.52-3.89, 1 Y 3.52
Y 0.0000 0.0746 0.7500 x4  6 La 3.46-3.72, 2 Pr 3.52
Er 0.0000 0.4378 0.2500 x4  6 La 3.45-3.71, 4 Pr 3.48-3.76

Values from the calculation:
* DOS(E_F): 1.25 states/eV per atom
* total energy: -196.13 eV per cell
* calculated formation energy: 0.112 eV per atom

4.
Entry from the Alexandria database: an optimized crystal structure of KLi2In (PBE-GGA).

abc: 3.9103 5.2034 5.8051
angles: 90.00 90.00 90.00
Closest atoms and distances in Å follow each position.
Space group Pmmm (No. 47)
Inequivalent atoms, fractional coordinates:
K 0.0000 0.0000 0.0000 x1  4 Li 3.25, 4 In 3.50
Li 0.0000 0.5000 0.5000 x1  4 In 3.25, 4 Li 3.50
Li 0.5000 0.5000 0.0000 x1  4 K 3.25, 4 Li 3.50
In 0.5000 0.0000 0.5000 x1  4 Li 3.25, 4 K 3.50

Values from the calculation:
* DOS(E_F): 0.50 states/eV per atom
* total energy: -7.23 eV per cell
* calculated formation energy: 0.107 eV per atom

5.
Entry from the Alexandria database: an optimized crystal structure of Pm2Pr2Tm (PBE-GGA).

abc: 3.6711 5.8404 32.3686
angles: 90.00 90.00 90.00
Closest atoms and distances in Å follow each position.
Space group Imma (No. 74)
Inequivalent atoms, fractional coordinates:
Pm 0.0000 0.2500 0.1928 x4  6 Pm 3.48-3.67, 2 Pr 3.77
Pm 0.0000 0.2500 0.7074 x4  8 Pm 3.31-3.67, 2 Pr 3.40
Pr 0.0000 0.2500 0.8810 x4  1 Pr 3.18, 2 Pm 3.40
Pr 0.0000 0.2500 0.9792 x4  3 Pr 3.18-3.22
Tm 0.0000 0.2500 0.4207 x4  2 Tm 3.67, 10 Pr 3.68-3.93, 2 Pm 4.11

Values from the calculation:
* energy above the lowest structure with this stoichiometry: 114 meV/atom
* DOS(E_F): 1.57 states/eV per atom
* total energy: -91.35 eV per cell
* calculated formation energy: 0.139 eV per atom

6.
Entry from the Alexandria database: an optimized crystal structure of La4MnIr (PBE-GGA).

abc: 8.7826 8.7826 8.7826
angles: 90.00 90.00 90.00
Closest atoms and distances in Å follow each position.
Space group F-43m (No. 216)
Inequivalent atoms, fractional coordinates:
La 0.1238 0.1238 0.3762 x16  6 La 3.07-3.14
Mn 0.0000 0.0000 0.0000 x4  12 La 3.64, 4 Ir 3.80
Ir 0.2500 0.2500 0.7500 x4  12 La 3.64, 4 Mn 3.80

Values from the calculation:
* DOS(E_F): 1.71 states/eV per atom
* total energy: -132.25 eV per cell
* calculated formation energy: 0.780 eV per atom

Question: Which of these has the highest total energy?
Answer: KLi2In

Please write out number 4 again, unchanged.
Entry from the Alexandria database: an optimized crystal structure of KLi2In (PBE-GGA).

abc: 3.9103 5.2034 5.8051
angles: 90.00 90.00 90.00
Closest atoms and distances in Å follow each position.
Space group Pmmm (No. 47)
Inequivalent atoms, fractional coordinates:
K 0.0000 0.0000 0.0000 x1  4 Li 3.25, 4 In 3.50
Li 0.0000 0.5000 0.5000 x1  4 In 3.25, 4 Li 3.50
Li 0.5000 0.5000 0.0000 x1  4 K 3.25, 4 Li 3.50
In 0.5000 0.0000 0.5000 x1  4 Li 3.25, 4 K 3.50

Values from the calculation:
* DOS(E_F): 0.50 states/eV per atom
* total energy: -7.23 eV per cell
* calculated formation energy: 0.107 eV per atom

Question: Which formula does entry 5 have?
Answer: Pm2Pr2Tm